# 1
ScAgHg (PBE, optimized geometry); uncorrected energy = -3.107 eV per atom; volume = 24.299 Å³/atom
1.0
-1.438 -4.374 -0.889
1.158 -2.072 -4.044
3.093 -3.524 -0.027
Ag Hg Sc
1 1 1
Direct
0.000 0.000 0.000
0.500 0.500 0.500
0.250 0.250 0.250

---

# 2
ScAg2Hg (PBE, optimized geometry); uncorrected energy = -2.982 eV per atom; volume = 22.133 Å³/atom
1.0
7.849 0.000 0.000
0.000 7.849 0.000
3.925 3.925 2.874
Sc Hg Ag
2 2 4
Direct
0.500 0.500 0.000
0.250 0.750 0.500
0.000 0.000 0.000
0.750 0.250 0.500
0.628 0.125 0.250
0.122 0.625 0.250
0.375 0.372 0.750
0.875 0.878 0.750